Ta5NbRu4 GGA-PBE optimized geometry; ΔE_f = -6.57 kcal/mol of atoms; energy above the most stable polymorph in this dataset = 9 meV/atom; D(E_F) = 10.04 states/eV per cell
1.0
3.2262 0.0000 0.0000
0.0000 3.2262 0.0000
0.0000 0.0000 15.7919
Ta Nb Ru
5 1 4
Direct
0.5000 0.5000 0.1032
0.5000 0.5000 0.5000
0.5000 0.5000 0.6964
0.5000 0.5000 0.8968
0.5000 0.5000 0.3036
0.0000 0.0000 0.0000
0.0000 0.0000 0.4025
0.0000 0.0000 0.5975
0.0000 0.0000 0.7914
0.0000 0.0000 0.2086

---

Ta3NbRu3 GGA-PBE optimized geometry; ΔE_f = -1.90 kcal/mol of atoms; D(E_F) = 10.25 states/eV per cell
1.0
6.2899 -0.0902 -0.0011
-0.0758 6.2901 -0.0011
0.0005 0.0005 6.0888
Ru Nb Ta
6 2 6
Direct
0.4998 0.0004 0.2511
0.5002 0.9996 0.7489
0.0004 0.4998 0.2511
0.0000 0.0000 0.2517
0.9996 0.5002 0.7489
0.0000 0.0000 0.7483
0.3146 0.3146 0.9995
0.6854 0.6854 0.0005
0.7175 0.2825 0.5000
0.2357 0.7643 0.0000
0.7643 0.2357 0.0000
0.2448 0.2448 0.5004
0.2825 0.7175 0.5000
0.7552 0.7552 0.4996

---

Ta2Nb3Ru3 GGA-PBE optimized geometry; ΔE_f = -6.59 kcal/mol of atoms; D(E_F) = 4.52 states/eV per cell
1.0
4.3311 0.0000 1.3053
1.9689 3.8577 1.3053
-0.0108 -0.0066 7.8742
Nb Ta Ru
3 2 3
Direct
0.7489 0.7489 0.7534
0.2510 0.2510 0.2470
0.6249 0.6249 0.1253
0.5002 0.5002 0.4994
0.9999 0.9999 0.0002
0.8714 0.8714 0.3857
0.1253 0.1253 0.6242
0.3784 0.3784 0.8648

---

TaNbRu GGA-PBE optimized geometry; ΔE_f = 4.94 kcal/mol of atoms; energy above the most stable polymorph in this dataset = 520 meV/atom; D(E_F) = 8.21 states/eV per cell
1.0
6.1691 0.1985 -0.0034
0.0106 6.1723 0.0034
-3.0857 -3.1894 6.1607
Ru Ta Nb
4 4 4
Direct
0.7823 0.7073 0.0000
0.2927 0.2177 0.0000
0.5427 0.9677 0.5000
0.0323 0.4573 0.5000
0.6627 0.0878 0.2506
0.4128 0.3378 0.7506
0.6622 0.5872 0.2494
0.9122 0.3372 0.7494
0.1660 0.5911 0.2572
0.4089 0.8339 0.7428
0.9160 0.8411 0.7572
0.1589 0.0839 0.2428

---

Ta2Nb3Ru GGA-PBE optimized geometry; ΔE_f = -3.80 kcal/mol of atoms; energy above the most stable polymorph in this dataset = 0 meV/atom; D(E_F) = 8.07 states/eV per cell
1.0
4.5979 0.0000 0.0180
2.2990 6.8944 0.0090
-0.0258 0.0000 6.5866
Ta Nb Ru
4 6 2
Direct
0.6675 0.6650 0.5000
0.0000 0.0000 0.0000
0.0000 0.0000 0.5000
0.3325 0.3350 0.5000
0.5000 0.0000 0.2453
0.8315 0.3369 0.7558
0.1685 0.6631 0.2442
0.1685 0.6631 0.7558
0.5000 0.0000 0.7547
0.8315 0.3369 0.2442
0.6677 0.6646 0.0000
0.3323 0.3354 0.0000

---

Ta4Nb2Ru GGA-PBE optimized geometry; ΔE_f = 5.56 kcal/mol of atoms; energy above the most stable polymorph in this dataset = 207 meV/atom; D(E_F) = 7.42 states/eV per cell
1.0
2.7345 0.0000 0.0000
0.0000 9.5432 3.2985
0.0000 -0.5321 4.6070
Ta Ru Nb
4 1 2
Direct
0.5000 0.9362 0.6528
0.0000 0.6545 0.7831
0.5000 0.2066 0.4901
0.0000 0.4883 0.3598
0.0000 0.0714 0.0715
0.5000 0.3575 0.9200
0.5000 0.7852 0.2230

---

Ta4Nb2Ru GGA-PBE optimized geometry; ΔE_f = 26.92 kcal/mol of atoms; energy above the most stable polymorph in this dataset = 1134 meV/atom; D(E_F) = 9.67 states/eV per cell
1.0
4.7470 0.0000 0.0000
0.0000 4.7470 0.0000
2.3735 2.3735 6.7207
Nb Ta Ru
2 4 1
Direct
0.6195 0.6195 0.7610
0.3805 0.3805 0.2390
0.5000 0.0000 0.0000
0.8126 0.8126 0.3748
0.1874 0.1874 0.6252
0.0000 0.5000 0.0000
0.0000 0.0000 0.0000

---

TaNb2Ru2 GGA-PBE optimized geometry; ΔE_f = 1.31 kcal/mol of atoms; energy above the most stable polymorph in this dataset = 75 meV/atom; D(E_F) = 8.39 states/eV per cell
1.0
-7.4175 -1.4907 0.2748
1.3183 -7.0215 -2.5057
0.2936 -0.9445 2.8012
Ru Nb Ta
4 4 2
Direct
0.1509 0.6509 0.5000
0.3491 0.1509 0.5000
0.6509 0.8491 0.5000
0.8491 0.3491 0.5000
0.1504 0.3496 0.0000
0.8496 0.6504 0.0000
0.3496 0.8496 0.0000
0.6504 0.1504 0.0000
0.0000 0.0000 0.0000
0.5000 0.5000 0.0000

---

TaNb3Ru GGA-PBE optimized geometry; ΔE_f = 26.40 kcal/mol of atoms; energy above the most stable polymorph in this dataset = 1217 meV/atom; D(E_F) = 7.97 states/eV per cell
1.0
4.7580 0.0000 0.0000
0.0000 4.7580 0.0000
0.0000 0.0000 4.7580
Nb Ru Ta
3 1 1
Direct
0.0000 0.0000 0.5000
0.0000 0.5000 0.0000
0.5000 0.0000 0.0000
0.0000 0.0000 0.0000
0.5000 0.5000 0.5000

---

TaNb2TcRu GGA-PBE optimized geometry; ΔE_f = 40.46 kcal/mol of atoms; D(E_F) = 6.60 states/eV per cell
1.0
-2.7685 3.8964 0.7140
-1.5632 -0.3300 -4.2600
-3.5965 -2.8375 1.5395
Ru Tc Nb Ta
1 1 2 1
Direct
0.0000 0.5000 0.0000
0.5000 0.5000 0.5000
0.5000 0.0000 0.0000
0.0000 0.0000 0.5000
0.0000 0.0000 0.0000

---

Ta2NbV2Ru5 GGA-PBE optimized geometry; ΔE_f = -1.86 kcal/mol of atoms; D(E_F) = 17.54 states/eV per cell
1.0
-2.9022 1.8456 1.2707
-5.4765 -7.0148 -2.3193
1.2636 -3.7337 8.3092
V Ru Nb Ta
4 10 2 4
Direct
0.0000 0.3757 0.1243
0.0000 0.1243 0.6243
0.0000 0.6243 0.8757
0.0000 0.8757 0.3757
0.5000 0.4333 0.2948
0.5000 0.2052 0.0667
0.5000 0.9333 0.2052
0.5000 0.0667 0.7948
0.5000 0.7948 0.9333
0.5000 0.7052 0.4333
0.5000 0.5667 0.7052
0.5000 0.5000 0.0000
0.5000 0.0000 0.5000
0.5000 0.2948 0.5667
0.0000 0.5000 0.5000
0.0000 0.0000 0.0000
0.0000 0.3246 0.8246
0.0000 0.1754 0.3246
0.0000 0.6754 0.1754
0.0000 0.8246 0.6754